# PBE ScFeCo, relaxed
data_ScFeCo
_chemical_formula_sum 'Sc4 Fe4 Co4'
_space_group_name_H-M_alt 'I m m a'
_space_group_IT_number 74
_space_group_name_Hall '-I 2b 2'
_cell_length_a 4.909
_cell_length_b 5.014
_cell_length_c 6.856
_cell_angle_alpha 90.00
_cell_angle_beta 90.00
_cell_angle_gamma 90.00
loop_
_atom_site_label
_atom_site_type_symbol
_atom_site_fract_x
_atom_site_fract_y
_atom_site_fract_z
Sc1 Sc 0.000 0.250 0.126
Fe1 Fe 0.250 0.250 0.750
Co1 Co 0.000 0.000 0.500
# - E_form: -0.325 eV per atom
# - Spin magnetization: 11.09 μB/cell
# - N(E_F): 2.8 states/eV/f.u.